(1)
{
  "formula": "BaMgPCl2",
  "functional": "PBE",
  "state": "relaxed",
  "spacegroup": "P4/mmm (123)",
  "polymorph_energy_mev_per_atom": 0,
  "magnetic_moment_mub_per_cell": 1.009,
  "mass_density_g_cm3": 3.35,
  "cell": [[-0.0704, 4.8862, -1.0118], [-4.0495, 0.5353, 2.8669], [3.0635, 0.9052, 4.1583]],
  "species": ["P", "Mg", "Ba", "Cl", "Cl"],
  "frac_coords": [[0.0000, 0.0000, 0.5000], [0.0000, 0.0000, 0.0000], [0.5000, 0.5000, 0.5000], [0.0000, 0.5000, 0.0000], [0.5000, 0.0000, 0.0000]]
}

=====

(2)
{
  "formula": "Te7C6",
  "functional": "PBE",
  "state": "relaxed",
  "spacegroup": "R-3m (166)",
  "e_tot_ha_per_atom": -0.17803,
  "magnetic_moment_mub_per_cell": 0.000,
  "mass_density_g_cm3": 4.53,
  "cell": [[-2.4311, -6.7379, -0.4556], [5.5477, -3.1615, -3.2780], [3.3195, -2.9601, 5.6334]],
  "species": ["C", "C", "C", "C", "C", "C", "Te", "Te", "Te", "Te", "Te", "Te", "Te"],
  "frac_coords": [[0.0455, 0.0455, 0.0455], [0.9545, 0.9545, 0.9545], [0.1329, 0.1329, 0.1329], [0.8671, 0.8671, 0.8671], [0.3310, 0.3310, 0.3310], [0.6690, 0.6690, 0.6690], [0.6303, 0.6303, 0.9860], [0.9860, 0.6303, 0.6303], [0.6303, 0.9860, 0.6303], [0.3697, 0.3697, 0.0140], [0.3697, 0.0140, 0.3697], [0.0140, 0.3697, 0.3697], [0.5000, 0.5000, 0.5000]]
}